DFT (PBE) results for a geometry-optimized Y6TlNi2 structure.

Properties
E_form = -322 meV per atom
M_tot = 0.000 μB/cell
Crystal system = orthorhombic
DFT total energy = -111.23 eV/cell

Structure (POSCAR):
```
Y6TlNi2
1.0
-5.3917 3.5839 -5.4691
2.0269 -7.9362 -2.1757
-3.6333 -0.4282 7.6447
Y Tl Ni
12 2 4
direct
0.7951 0.2324 0.0275 Y
0.3068 0.6318 0.3250 Y
0.8911 0.7081 0.1829 Y
0.1089 0.2919 0.8171 Y
0.6932 0.0182 0.3250 Y
0.2049 0.2324 0.4374 Y
0.5252 0.7081 0.8171 Y
0.7951 0.7676 0.5626 Y
0.4748 0.2919 0.1829 Y
0.2049 0.7676 0.9725 Y
0.3068 0.9818 0.6750 Y
0.6932 0.3682 0.6750 Y
0.0000 0.5000 0.5000 Tl
0.0000 0.0000 0.0000 Tl
0.3570 0.0000 0.3570 Ni
0.5000 0.3779 0.8779 Ni
0.5000 0.6221 0.1221 Ni
0.6430 0.0000 0.6430 Ni
```